RbAl3Mo after structural relaxation, computed with PBE. Values from VASP.

Quantum ESPRESSO input file:
```
&SYSTEM
  ibrav = 0, nat = 5, ntyp = 3
/
ATOMIC_SPECIES
Al 26.98 Al.upf
Mo 95.94 Mo.upf
Rb 85.47 Rb.upf
ATOMIC_POSITIONS angstrom
Al 2.779 0.000 0.000
Al 0.000 2.779 0.000
Al 0.000 0.000 2.779
Mo 2.779 2.779 2.779
Rb 0.000 0.000 0.000
CELL_PARAMETERS angstrom
5.558 0.000 0.000
0.000 5.558 0.000
0.000 0.000 5.558
```

* ρ: 2.54 g/cm³
* M_tot: 3.4 μB per cell
* energy relative to the elements: 2.397 eV/atom
* relative energy among the computed polymorphs: 2090 meV/atom
* space group: Pm-3m

---

Rb2AlMo after structural relaxation, computed with PBE. Values from VASP.

Quantum ESPRESSO input file:
```
&SYSTEM
  ibrav = 0, nat = 8, ntyp = 3
/
ATOMIC_SPECIES
Rb 85.47 Rb.upf
Mo 95.94 Mo.upf
Al 26.98 Al.upf
ATOMIC_POSITIONS angstrom
Rb -10.554 -4.421 5.384
Rb -15.525 -4.493 6.295
Rb -10.116 -1.961 9.778
Rb -14.295 -4.424 11.198
Mo 0.000 0.000 0.000
Mo -12.622 -3.824 8.164
Al -14.123 -6.307 -1.173
Al -9.179 -2.580 2.161
CELL_PARAMETERS angstrom
-7.679 -0.098 11.497
-10.679 -5.062 -7.176
-8.387 -4.972 2.669
```

* ρ: 1.99 g/cm³
* M_tot: 6.6 μB per cell
* energy relative to the elements: 1.128 eV/atom
* space group: I-42d